DFT (meta-GGA SCAN) results for a crystal of Tl2SiTc relaxed with PBEsol.

abc: 3.2413 3.2413 25.7889
angles: 90.00 90.00 120.00
Last column: nearest neighbours and their distance in Å.
Sites, in units of the cell vectors:
Tl 0.0000 0.0000 0.2478  3 Tc 2.81, 3 Si 2.89
Tl 0.0000 0.0000 0.7522  3 Tc 2.81, 3 Si 2.89
Tl 0.3333 0.6667 0.4189  3 Tc 2.81, 3 Si 2.89
Tl 0.3333 0.6667 0.9144  3 Tc 2.81, 3 Si 2.89
Tl 0.6667 0.3333 0.0856  3 Tc 2.81, 3 Si 2.89
Tl 0.6667 0.3333 0.5811  3 Tc 2.81, 3 Si 2.89
Si 0.0000 0.0000 0.0000  6 Tl 2.89
Si 0.3333 0.6667 0.6667  6 Tl 2.89
Si 0.6667 0.3333 0.3333  6 Tl 2.89
Tc 0.0000 0.0000 0.5000  6 Tl 2.81
Tc 0.3333 0.6667 0.1667  6 Tl 2.81
Tc 0.6667 0.3333 0.8333  6 Tl 2.81

Summary:
SG = R-3m (166)
Offset from the most stable computed form = 0.714 eV/atom
Uncorrected formation energy = 0.922 eV per atom
Energy = -46.526 eV per atom

---

DFT (meta-GGA SCAN) results for a crystal of YSi2Tc relaxed with PBEsol.

abc: 5.5481 7.1790 3.2871
angles: 90.00 90.00 90.00
Last column: nearest neighbours and their distance in Å.
Sites, in units of the cell vectors:
Y 0.0000 0.0000 0.0000  2 Tc 2.77, 8 Si 2.80
Y 0.5000 0.5000 0.0000  2 Tc 2.77, 8 Si 2.80
Si 0.2500 0.2500 0.5000  2 Si 2.77, 4 Tc 2.80, 4 Y 2.80
Si 0.2500 0.7500 0.5000  2 Si 2.77, 4 Tc 2.80, 4 Y 2.80
Si 0.7500 0.2500 0.5000  2 Si 2.77, 4 Tc 2.80, 4 Y 2.80
Si 0.7500 0.7500 0.5000  2 Si 2.77, 4 Y 2.80, 4 Tc 2.80
Tc 0.0000 0.5000 0.0000  2 Y 2.77, 8 Si 2.80
Tc 0.5000 0.0000 0.0000  2 Y 2.77, 8 Si 2.80

Summary:
SG = Cmmm (65)
Offset from the most stable computed form = 0.636 eV/atom
Uncorrected formation energy = -0.007 eV per atom
Energy = -20.740 eV per atom

---

DFT (meta-GGA SCAN) results for a crystal of Y2SiTc relaxed with PBEsol.

abc: 6.5754 6.5847 3.6633
angles: 90.00 90.00 90.00
Last column: nearest neighbours and their distance in Å.
Sites, in units of the cell vectors:
Y 0.2500 0.2500 0.0000  4 Tc 2.96, 4 Si 2.96, 4 Y 3.29
Y 0.2500 0.7500 0.0000  4 Tc 2.96, 4 Si 2.96, 4 Y 3.29
Y 0.7500 0.2500 0.0000  4 Si 2.96, 4 Tc 2.96, 4 Y 3.29
Y 0.7500 0.7500 0.0000  4 Tc 2.96, 4 Si 2.96, 4 Y 3.29
Si 0.0000 0.0000 0.5000  8 Y 2.96, 4 Tc 3.29
Si 0.5000 0.5000 0.5000  8 Y 2.96, 4 Tc 3.29
Tc 0.0000 0.5000 0.5000  8 Y 2.96, 4 Si 3.29
Tc 0.5000 0.0000 0.5000  8 Y 2.96, 4 Si 3.29

Summary:
SG = Cmmm (65)
Uncorrected formation energy = -0.296 eV per atom
Energy = -25.487 eV per atom

---

DFT (meta-GGA SCAN) results for a crystal of YSi2Tc relaxed with PBEsol.

abc: 4.0795 4.0795 14.4918
angles: 90.00 90.00 120.00
Last column: nearest neighbours and their distance in Å.
Sites, in units of the cell vectors:
Y 0.0000 0.0000 0.0000  8 Si 2.93-3.08
Y 0.3333 0.6667 0.6667  8 Si 2.93-3.08
Y 0.6667 0.3333 0.3333  8 Si 2.93-3.08
Si 0.0000 0.0000 0.2125  3 Tc 2.45, 3 Si 2.70
Si 0.0000 0.0000 0.7875  3 Tc 2.45, 3 Si 2.70
Si 0.3333 0.6667 0.4541  3 Tc 2.45, 3 Si 2.70
Si 0.3333 0.6667 0.8792  3 Tc 2.45, 3 Si 2.70
Si 0.6667 0.3333 0.1208  3 Tc 2.45, 3 Si 2.70
Si 0.6667 0.3333 0.5459  3 Tc 2.45, 3 Si 2.70
Tc 0.0000 0.0000 0.5000  6 Si 2.45
Tc 0.3333 0.6667 0.1667  6 Si 2.45
Tc 0.6667 0.3333 0.8333  6 Si 2.45

Summary:
SG = R-3m (166)
Offset from the most stable computed form = 0.000 eV/atom
Uncorrected formation energy = -0.643 eV per atom
Energy = -21.376 eV per atom

---

DFT (meta-GGA SCAN) results for a crystal of YSi2Tc2 relaxed with PBEsol.

abc: 4.0321 4.0321 10.2270
angles: 90.00 90.00 90.00
Last column: nearest neighbours and their distance in Å.
Sites, in units of the cell vectors:
Y 0.0000 0.0000 0.0000  8 Si 3.10, 8 Tc 3.26
Y 0.5000 0.5000 0.5000  8 Si 3.10, 8 Tc 3.26
Si 0.0000 0.0000 0.3804  4 Tc 2.42, 1 Si 2.45
Si 0.0000 0.0000 0.6196  4 Tc 2.42, 1 Si 2.45
Si 0.5000 0.5000 0.1196  4 Tc 2.42, 1 Si 2.45
Si 0.5000 0.5000 0.8804  4 Tc 2.42, 1 Si 2.45
Tc 0.0000 0.5000 0.2500  4 Si 2.42
Tc 0.0000 0.5000 0.7500  4 Si 2.42
Tc 0.5000 0.0000 0.2500  4 Si 2.42
Tc 0.5000 0.0000 0.7500  4 Si 2.42

Summary:
SG = I4/mmm (139)
Uncorrected formation energy = -0.662 eV per atom
Energy = -24.260 eV per atom

---

DFT (meta-GGA SCAN) results for a crystal of YSi2Tc relaxed with PBEsol.

abc: 3.1984 3.1984 6.5128
angles: 90.00 90.00 90.00
Last column: nearest neighbours and their distance in Å.
Sites, in units of the cell vectors:
Y 0.0000 0.0000 0.0000  5 Si 3.02-3.09, 4 Tc 3.08, 4 Y 3.20
Si 0.0000 0.0000 0.5255  4 Tc 2.47, 4 Si 2.67
Si 0.5000 0.5000 0.3069  1 Tc 2.42, 4 Si 2.67
Tc 0.5000 0.5000 0.6790  5 Si 2.42-2.47

Summary:
SG = P4mm (99)
Offset from the most stable computed form = 0.269 eV/atom
Uncorrected formation energy = -0.374 eV per atom
Energy = -21.107 eV per atom

---

DFT (meta-GGA SCAN) results for a crystal of Y2Si2Tc relaxed with PBEsol.

abc: 6.7239 6.7239 4.1611
angles: 90.00 90.00 90.00
Last column: nearest neighbours and their distance in Å.
Sites, in units of the cell vectors:
Y 0.1779 0.3221 0.0000  6 Si 2.78-2.95
Y 0.3221 0.8221 0.0000  6 Si 2.78-2.95
Y 0.6779 0.1779 0.0000  6 Si 2.78-2.95
Y 0.8221 0.6779 0.0000  6 Si 2.78-2.95
Si 0.1284 0.6284 0.5000  1 Si 2.44, 2 Tc 2.64
Si 0.3716 0.1284 0.5000  1 Si 2.44, 2 Tc 2.64
Si 0.6284 0.8716 0.5000  1 Si 2.44, 2 Tc 2.64
Si 0.8716 0.3716 0.5000  1 Si 2.44, 2 Tc 2.64
Tc 0.0000 0.0000 0.5000  4 Si 2.64
Tc 0.5000 0.5000 0.5000  4 Si 2.64

Summary:
SG = P4/mbm (127)
Uncorrected formation energy = -0.700 eV per atom
Energy = -22.855 eV per atom

---

DFT (meta-GGA SCAN) results for a crystal of ZnSiTc2 relaxed with PBEsol.

abc: 8.2574 2.7932 4.8212
angles: 90.00 102.41 90.00
Last column: nearest neighbours and their distance in Å.
Sites, in units of the cell vectors:
Zn 0.0000 0.0000 0.0000  6 Tc 2.56-2.64, 4 Si 2.79, 2 Zn 2.79
Zn 0.5000 0.5000 0.0000  6 Tc 2.56-2.64, 4 Si 2.79, 2 Zn 2.79
Si 0.0000 0.5000 0.5000  6 Tc 2.50-2.65, 4 Zn 2.79, 2 Si 2.79
Si 0.5000 0.0000 0.5000  6 Tc 2.50-2.65, 4 Zn 2.79, 2 Si 2.79
Tc 0.2404 0.0000 0.7417  3 Si 2.50-2.65, 3 Zn 2.56-2.64, 4 Tc 2.75-2.79
Tc 0.2596 0.5000 0.2583  3 Si 2.50-2.65, 3 Zn 2.56-2.64, 4 Tc 2.75-2.79
Tc 0.7404 0.5000 0.7417  3 Si 2.50-2.65, 3 Zn 2.56-2.64, 4 Tc 2.75-2.79
Tc 0.7596 0.0000 0.2583  3 Si 2.50-2.65, 3 Zn 2.56-2.64, 4 Tc 2.75-2.79

Summary:
SG = C2/m (12)
Offset from the most stable computed form = 0.087 eV/atom
Uncorrected formation energy = -0.013 eV per atom
Energy = -23.426 eV per atom

---

DFT (meta-GGA SCAN) results for a crystal of ZnSiTc2 relaxed with PBEsol.

abc: 5.9292 5.9292 5.9292
angles: 90.00 90.00 90.00
Last column: nearest neighbours and their distance in Å.
Sites, in units of the cell vectors:
Zn 0.0000 0.0000 0.0000  8 Tc 2.57
Zn 0.0000 0.5000 0.5000  8 Tc 2.57
Zn 0.5000 0.0000 0.5000  8 Tc 2.57
Zn 0.5000 0.5000 0.0000  8 Tc 2.57
Si 0.0000 0.0000 0.5000  8 Tc 2.57
Si 0.0000 0.5000 0.0000  8 Tc 2.57
Si 0.5000 0.0000 0.0000  8 Tc 2.57
Si 0.5000 0.5000 0.5000  8 Tc 2.57
Tc 0.2500 0.2500 0.2500  4 Si 2.57, 4 Zn 2.57
Tc 0.2500 0.2500 0.7500  4 Si 2.57, 4 Zn 2.57
Tc 0.2500 0.7500 0.2500  4 Si 2.57, 4 Zn 2.57
Tc 0.2500 0.7500 0.7500  4 Si 2.57, 4 Zn 2.57
Tc 0.7500 0.2500 0.2500  4 Si 2.57, 4 Zn 2.57
Tc 0.7500 0.2500 0.7500  4 Si 2.57, 4 Zn 2.57
Tc 0.7500 0.7500 0.2500  4 Si 2.57, 4 Zn 2.57
Tc 0.7500 0.7500 0.7500  4 Zn 2.57, 4 Si 2.57

Summary:
SG = Fm-3m (225)
Offset from the most stable computed form = 0.016 eV/atom
Uncorrected formation energy = -0.084 eV per atom
Energy = -23.496 eV per atom

---

DFT (meta-GGA SCAN) results for a crystal of Zn2SiTc relaxed with PBEsol.

abc: 3.6796 3.6796 7.8121
angles: 90.00 90.00 90.00
Last column: nearest neighbours and their distance in Å.
Sites, in units of the cell vectors:
Zn 0.0000 0.0000 0.0000  4 Si 2.60, 4 Tc 2.68, 4 Zn 2.68
Zn 0.0000 0.5000 0.2500  4 Tc 2.60, 4 Si 2.68, 4 Zn 2.68
Zn 0.5000 0.0000 0.7500  4 Tc 2.60, 4 Zn 2.68, 4 Si 2.68
Zn 0.5000 0.5000 0.5000  4 Si 2.60, 4 Tc 2.68, 4 Zn 2.68
Si 0.0000 0.0000 0.5000  8 Zn 2.60-2.68, 4 Tc 2.68
Si 0.5000 0.5000 0.0000  8 Zn 2.60-2.68, 4 Tc 2.68
Tc 0.0000 0.5000 0.7500  8 Zn 2.60-2.68, 4 Si 2.68
Tc 0.5000 0.0000 0.2500  8 Zn 2.60-2.68, 4 Si 2.68

Summary:
SG = I-4m2 (119)
Offset from the most stable computed form = 0.029 eV/atom
Uncorrected formation energy = -0.111 eV per atom
Energy = -18.138 eV per atom

---

DFT (meta-GGA SCAN) results for a crystal of ZnSiTc2 relaxed with PBEsol.

abc: 2.9920 4.5049 8.1073
angles: 90.00 90.00 90.00
Last column: nearest neighbours and their distance in Å.
Sites, in units of the cell vectors:
Zn 0.0000 0.0000 0.0000  4 Tc 2.63, 4 Zn 2.70
Zn 0.5000 0.5000 0.0000  4 Tc 2.63, 4 Zn 2.70
Si 0.0000 0.0000 0.5000  4 Tc 2.41
Si 0.5000 0.5000 0.5000  4 Tc 2.41
Tc 0.0000 0.5000 0.2669  2 Si 2.41, 2 Zn 2.63
Tc 0.0000 0.5000 0.7331  2 Si 2.41, 2 Zn 2.63
Tc 0.5000 0.0000 0.2669  2 Si 2.41, 2 Zn 2.63
Tc 0.5000 0.0000 0.7331  2 Si 2.41, 2 Zn 2.63

Summary:
SG = Cmmm (65)
Offset from the most stable computed form = 0.103 eV/atom
Uncorrected formation energy = 0.004 eV per atom
Energy = -23.409 eV per atom

---

DFT (meta-GGA SCAN) results for a crystal of ZnSiTc2 relaxed with PBEsol.

abc: 2.9357 4.0696 4.5489
angles: 90.00 90.00 90.00
Last column: nearest neighbours and their distance in Å.
Sites, in units of the cell vectors:
Zn 0.0000 0.0000 0.0000  4 Tc 2.51, 4 Si 2.71
Si 0.5000 0.0000 0.5000  4 Tc 2.51, 4 Zn 2.71
Tc 0.0000 0.5000 0.5000  4 Si 2.51, 4 Tc 2.71
Tc 0.5000 0.5000 0.0000  4 Zn 2.51, 4 Tc 2.71

Summary:
SG = Pmmm (47)
Offset from the most stable computed form = 0.187 eV/atom
Uncorrected formation energy = 0.088 eV per atom
Energy = -23.325 eV per atom

---

DFT (meta-GGA SCAN) results for a crystal of ZnSiTc2 relaxed with PBEsol.

abc: 3.0005 4.1178 8.5918
angles: 90.00 90.00 90.00
Last column: nearest neighbours and their distance in Å.
Sites, in units of the cell vectors:
Zn 0.0000 0.0000 0.0000  6 Tc 2.55-2.73, 2 Si 2.62
Zn 0.5000 0.5000 0.5000  6 Tc 2.55-2.73, 2 Si 2.62
Si 0.0000 0.5000 0.7503  6 Tc 2.48-2.55, 2 Zn 2.62
Si 0.5000 0.0000 0.2503  6 Tc 2.48-2.55, 2 Zn 2.62
Tc 0.0000 0.0000 0.4799  2 Si 2.48, 4 Zn 2.55, 2 Tc 2.65
Tc 0.0000 0.5000 0.2347  4 Si 2.55, 2 Tc 2.65, 2 Zn 2.73
Tc 0.5000 0.0000 0.7347  4 Si 2.55, 2 Tc 2.65, 2 Zn 2.73
Tc 0.5000 0.5000 0.9799  2 Si 2.48, 4 Zn 2.55, 2 Tc 2.65

Summary:
SG = Imm2 (44)
Offset from the most stable computed form = 0.000 eV/atom
Uncorrected formation energy = -0.099 eV per atom
Energy = -23.512 eV per atom

---

DFT (meta-GGA SCAN) results for a crystal of Zn2SiTc relaxed with PBEsol.

abc: 3.1749 3.8377 8.6716
angles: 90.00 90.00 90.00
Last column: nearest neighbours and their distance in Å.
Sites, in units of the cell vectors:
Zn 0.0000 0.0000 0.2466  4 Zn 2.49, 2 Si 2.66, 2 Tc 2.71
Zn 0.0000 0.0000 0.7534  4 Zn 2.49, 2 Si 2.66, 2 Tc 2.71
Zn 0.5000 0.5000 0.2534  4 Zn 2.49, 2 Si 2.66, 2 Tc 2.71
Zn 0.5000 0.5000 0.7466  4 Zn 2.49, 2 Si 2.66, 2 Tc 2.71
Si 0.0000 0.5000 0.5000  4 Tc 2.49, 4 Zn 2.66
Si 0.5000 0.0000 0.0000  4 Tc 2.49, 4 Zn 2.66
Tc 0.0000 0.5000 0.0000  4 Si 2.49, 4 Zn 2.71
Tc 0.5000 0.0000 0.5000  4 Si 2.49, 4 Zn 2.71

Summary:
SG = Immm (71)
Offset from the most stable computed form = 0.000 eV/atom
Uncorrected formation energy = -0.140 eV per atom
Energy = -18.166 eV per atom